1.
Compound: BeCdInN2
Source: Alexandria
Functional: PBE-GGA
Structure: optimized geometry

## Properties
- Crystal system: tetragonal
- Raw formation energy: 1264 meV per atom
- Electronic total energy: -17.7 eV/cell

Lattice parameters (Å, degrees): 3.7503 3.7503 5.3295 90.00 90.00 90.00
Closest atoms and distances in Å follow each position.
Space group P4/mmm (No. 123)
One atom of each set of equivalent atoms:
Be (0.0000, 0.0000, 0.0000)  4 N 1.88
Cd (0.5000, 0.5000, 0.5000)  4 In 2.65
In (0.0000, 0.0000, 0.5000)  4 Cd 2.65, 2 Be 2.66
N (0.0000, 0.5000, 0.0000)  2 Be 1.88

***

2.
Compound: Na2BeCdIn
Source: Alexandria
Functional: PBE-GGA
Structure: optimized geometry

## Properties
- Crystal system: tetragonal
- Electronic total energy: -6.1 eV/cell
- ΔH_f (0 K): 0.782 eV/atom

Lattice parameters (Å, degrees): 5.9041 5.9041 5.3240 90.00 90.00 90.00
Closest atoms and distances in Å follow each position.
Space group P4/mmm (No. 123)
One atom of each set of equivalent atoms:
Na (0.0000, 0.5000, 0.0000)  2 In 2.95
Be (0.0000, 0.0000, 0.5000)  8 Na 3.98, 4 Cd 4.17
Cd (0.5000, 0.5000, 0.5000)  2 In 2.66
In (0.5000, 0.5000, 0.0000)  2 Cd 2.66, 4 Na 2.95

***

3.
Compound: Be2Cd2InPd5
Source: Alexandria
Functional: PBE-GGA
Structure: optimized geometry

## Properties
- Crystal system: tetragonal
- Electronic total energy: -85.0 eV/cell
- ΔH_f (0 K): -0.451 eV/atom

Lattice parameters (Å, degrees): 9.6638 9.6638 3.3111 90.00 90.00 90.00
Closest atoms and distances in Å follow each position.
Space group P4/mbm (No. 127)
One atom of each set of equivalent atoms:
Be (0.1221, 0.3779, 0.0000)  6 Pd 2.33-2.35
Cd (0.1748, 0.6748, 0.0000)  3 Be 2.77-2.91, 10 Pd 2.91-3.10
In (0.0000, 0.0000, 0.0000)  8 Pd 2.75
Pd (0.0000, 0.5000, 0.5000)  4 Be 2.35
Pd (0.0730, 0.2156, 0.5000)  2 Be 2.33

***

4.
Compound: Be2Cd2InPt5
Source: Alexandria
Functional: PBE-GGA
Structure: optimized geometry

## Properties
- Crystal system: tetragonal
- Electronic total energy: -94.4 eV/cell
- ΔH_f (0 K): -0.497 eV/atom

Lattice parameters (Å, degrees): 9.4275 9.4275 3.5242 90.00 90.00 90.00
Closest atoms and distances in Å follow each position.
Space group P4/mbm (No. 127)
One atom of each set of equivalent atoms:
Be (0.1232, 0.3768, 0.0000)  6 Pt 2.38-2.41
Cd (0.1752, 0.6752, 0.0000)  3 Be 2.69-2.86, 6 Pt 2.93-2.99
In (0.0000, 0.0000, 0.0000)  8 Pt 2.77
Pt (0.0000, 0.5000, 0.5000)  4 Be 2.41
Pt (0.0721, 0.2154, 0.5000)  2 Be 2.38

***

5.
Compound: Be2CdInS
Source: Alexandria
Functional: PBE-GGA
Structure: optimized geometry

## Properties
- Crystal system: tetragonal
- Raw formation energy: 528 meV per atom
- Electronic total energy: -12.6 eV/cell

Lattice parameters (Å, degrees): 4.1251 4.1251 5.8112 90.00 90.00 90.00
Closest atoms and distances in Å follow each position.
Space group P4/mmm (No. 123)
One atom of each set of equivalent atoms:
Be (0.0000, 0.5000, 0.0000)  2 S 2.06
Cd (0.0000, 0.0000, 0.5000)  2 S 2.91, 4 In 2.92
In (0.5000, 0.5000, 0.5000)  4 Cd 2.92
S (0.0000, 0.0000, 0.0000)  4 Be 2.06

***

6.
Compound: ScBeCd2In
Source: Alexandria
Functional: PBE-GGA
Structure: optimized geometry

## Properties
- Crystal system: tetragonal
- Electronic total energy: -13.6 eV/cell
- ΔH_f (0 K): 0.204 eV/atom

Lattice parameters (Å, degrees): 4.6451 4.6451 4.8929 90.00 90.00 90.00
Closest atoms and distances in Å follow each position.
Space group P4/mmm (No. 123)
One atom of each set of equivalent atoms:
Sc (0.0000, 0.0000, 0.0000)  4 In 3.28, 8 Cd 3.37
Be (0.5000, 0.5000, 0.5000)  4 Cd 2.32, 2 In 2.45
Cd (0.0000, 0.5000, 0.5000)  2 Be 2.32
In (0.5000, 0.5000, 0.0000)  2 Be 2.45

***

7.
Compound: BeVCd2In
Source: Alexandria
Functional: PBE-GGA
Structure: optimized geometry

## Properties
- Crystal system: tetragonal
- Electronic total energy: -10.6 eV/cell
- ΔH_f (0 K): 1.370 eV/atom

Lattice parameters (Å, degrees): 5.3534 5.3534 4.4371 90.00 90.00 90.00
Closest atoms and distances in Å follow each position.
Space group P4/mmm (No. 123)
One atom of each set of equivalent atoms:
Be (0.0000, 0.0000, 0.0000)  2 In 2.22
V (0.5000, 0.5000, 0.0000)  8 Cd 3.48, 4 Be 3.79
Cd (0.0000, 0.5000, 0.5000)  2 In 2.68
In (0.0000, 0.0000, 0.5000)  2 Be 2.22

***

8.
Compound: BeCdIr
Source: Alexandria
Functional: PBE-GGA
Structure: optimized geometry

## Properties
- Crystal system: tetragonal
- Energy above the most stable polymorph in this dataset: 0.000 eV/atom
- Electronic total energy: -28.1 eV/cell
- ΔH_f (0 K): -0.189 eV/atom

Lattice parameters (Å, degrees): 3.0033 3.0033 9.7395 90.00 90.00 90.00
Closest atoms and distances in Å follow each position.
Space group I4mm (No. 107)
One atom of each set of equivalent atoms:
Be (0.0000, 0.0000, 0.0000)  4 Ir 2.28
Cd (0.0000, 0.0000, 0.2911)  5 Be 2.84-2.94, 5 Ir 2.87-2.92, 4 Cd 3.00
Ir (0.0000, 0.0000, 0.5856)  4 Be 2.28

***

9.
Compound: BeCdIr4
Source: Alexandria
Functional: PBE-GGA
Structure: optimized geometry

## Properties
- Crystal system: cubic
- Electronic total energy: -149.2 eV/cell
- ΔH_f (0 K): 0.465 eV/atom

Lattice parameters (Å, degrees): 7.3352 7.3352 7.3352 90.00 90.00 90.00
Closest atoms and distances in Å follow each position.
Space group F-43m (No. 216)
One atom of each set of equivalent atoms:
Be (0.0000, 0.0000, 0.0000)  12 Ir 3.04, 4 Cd 3.18
Cd (0.2500, 0.2500, 0.2500)  12 Ir 3.04, 4 Be 3.18
Ir (0.1253, 0.1253, 0.6253)  6 Ir 2.59-2.60

***

10.
Compound: BeCd2Ir
Source: Alexandria
Functional: PBE-GGA
Structure: optimized geometry

## Properties
- Crystal system: orthorhombic
- Electronic total energy: -27.7 eV/cell
- ΔH_f (0 K): 0.136 eV/atom

Lattice parameters (Å, degrees): 2.9445 4.8912 9.2822 90.00 90.00 90.00
Closest atoms and distances in Å follow each position.
Space group Cmm2 (No. 35)
One atom of each set of equivalent atoms:
Be (0.0000, 0.0000, 0.0000)  2 Ir 2.19
Cd (0.0000, 0.0000, 0.4449)  6 Cd 2.85-2.94, 2 Ir 2.91
Cd (0.0000, 0.5000, 0.7581)  2 Be 2.69, 6 Cd 2.85-2.94
Ir (0.0000, 0.5000, 0.1741)  2 Be 2.19

***

11.
Compound: BeCdIr
Source: Alexandria
Functional: PBE-GGA
Structure: optimized geometry

## Properties
- Crystal system: orthorhombic
- Energy above the most stable polymorph in this dataset: 0.315 eV/atom
- Electronic total energy: -52.5 eV/cell
- ΔH_f (0 K): 0.126 eV/atom

Lattice parameters (Å, degrees): 2.9313 4.7971 12.7452 90.00 90.00 90.00
Closest atoms and distances in Å follow each position.
Space group Fmm2 (No. 42)
One atom of each set of equivalent atoms:
Be (0.0000, 0.0000, 0.0000)  2 Ir 2.20
Cd (0.0000, 0.0000, 0.6757)  2 Be 2.68, 6 Cd 2.81-2.93, 2 Ir 2.90
Ir (0.0000, 0.0000, 0.3718)  2 Be 2.20

***

12.
Compound: BeCd2Ir
Source: Alexandria
Functional: PBE-GGA
Structure: optimized geometry

## Properties
- Crystal system: tetragonal
- Electronic total energy: -27.1 eV/cell
- ΔH_f (0 K): 0.216 eV/atom

Lattice parameters (Å, degrees): 3.9432 3.9432 8.2331 90.00 90.00 90.00
Closest atoms and distances in Å follow each position.
Space group I-4m2 (No. 119)
One atom of each set of equivalent atoms:
Be (0.0000, 0.0000, 0.0000)  8 Cd 2.79-2.85, 4 Ir 2.85
Cd (0.0000, 0.0000, 0.5000)  4 Be 2.79, 4 Cd 2.85, 4 Ir 2.85
Cd (0.0000, 0.5000, 0.7500)  4 Ir 2.79, 4 Cd 2.85, 4 Be 2.85
Ir (0.0000, 0.5000, 0.2500)  8 Cd 2.79-2.85, 4 Be 2.85

***

13.
Compound: BeCd2Ir
Source: Alexandria
Functional: PBE-GGA
Structure: optimized geometry

## Properties
- Crystal system: orthorhombic
- Electronic total energy: -26.4 eV/cell
- ΔH_f (0 K): 0.305 eV/atom

Lattice parameters (Å, degrees): 5.4678 7.7852 3.0740 90.00 90.00 90.00
Closest atoms and distances in Å follow each position.
Space group Cmmm (No. 65)
One atom of each set of equivalent atoms:
Be (0.0000, 0.0000, 0.0000)  2 Ir 2.73, 8 Cd 2.83
Cd (0.2500, 0.2500, 0.5000)  2 Cd 2.73, 4 Be 2.83, 4 Ir 2.83
Ir (0.0000, 0.5000, 0.0000)  2 Be 2.73, 8 Cd 2.83

***

14.
Compound: BeCd2Ir
Source: Alexandria
Functional: PBE-GGA
Structure: optimized geometry

## Properties
- Crystal system: tetragonal
- Electronic total energy: -13.5 eV/cell
- ΔH_f (0 K): 0.232 eV/atom

Lattice parameters (Å, degrees): 3.9433 3.9433 4.1154 90.00 90.00 90.00
Closest atoms and distances in Å follow each position.
Space group P4/mmm (No. 123)
One atom of each set of equivalent atoms:
Be (0.0000, 0.0000, 0.0000)  4 Ir 2.79, 8 Cd 2.85
Cd (0.0000, 0.5000, 0.5000)  4 Cd 2.79, 4 Ir 2.85, 4 Be 2.85
Ir (0.5000, 0.5000, 0.0000)  4 Be 2.79, 8 Cd 2.85

***

| no. | N(E_F) (states/eV/atom) | size of the total moment (μB per formula unit) | calculated volume (Å³ per atom) |
| --- | --- | --- | --- |
| 1 | 0.573 | 0.00 | 15.0 |
| 2 | 0.848 | 0.00 | 37.1 |
| 3 | 0.422 | 0.00 | 15.5 |
| 4 | 0.281 | 0.00 | 15.7 |
| 5 | 0.453 | 0.00 | 19.8 |
| 6 | 0.692 | 0.00 | 21.1 |
| 7 | 1.023 | 0.30 | 25.4 |
| 8 | 0.273 | 0.00 | 14.6 |
| 9 | 1.067 | 0.00 | 16.4 |
| 10 | 0.238 | 0.00 | 16.7 |
| 11 | 0.295 | 0.00 | 14.9 |
| 12 | 0.364 | 0.00 | 16.0 |
| 13 | 0.388 | 0.00 | 16.4 |
| 14 | 0.496 | 0.00 | 16.0 |